No. 1
Computed, not measured: ZrHg2F after structural relaxation at the PBE level of DFT.

Cell lengths 9.3718, 9.3718, 6.9602 Å; angles 47.68, 47.68, 90.00 degrees
Fractional coordinates of all 8 atoms:
F (0.5000, 0.5000, 0.0000)
F (0.2500, 0.7500, 0.5000)
Zr (0.0000, 0.0000, 0.0000)
Zr (0.7500, 0.2500, 0.5000)
Hg (0.5222, 0.1250, 0.2500)
Hg (0.3750, 0.4778, 0.7500)
Hg (0.2278, 0.6250, 0.2500)
Hg (0.8750, 0.7722, 0.7500)

Results
The energy relative to the elements, uncorrected is -0.58 eV per atom. The relative energy among the computed polymorphs is 0 meV per atom.

No. 2
Computed, not measured: CsLiLaBr5 after structural relaxation at the PBE level of DFT.

Cell lengths 8.2775, 8.2775, 11.1462 Å; angles 103.82, 103.82, 106.86 degrees
Fractional coordinates of all 16 atoms:
Br (0.9252, 0.0748, 0.7500)
Br (0.8956, 0.3017, 0.1066)
Br (0.3769, 0.2375, 0.0838)
Br (0.2375, 0.3769, 0.5838)
Br (0.7625, 0.6231, 0.4162)
Br (0.0748, 0.9252, 0.2500)
Br (0.3017, 0.8956, 0.6066)
Br (0.6231, 0.7625, 0.9162)
Br (0.6983, 0.1044, 0.3934)
Br (0.1044, 0.6983, 0.8934)
Cs (0.3444, 0.6556, 0.2500)
Cs (0.6556, 0.3444, 0.7500)
Li (0.3088, 0.6912, 0.7500)
Li (0.6912, 0.3088, 0.2500)
La (0.0000, 0.0000, 0.0000)
La (0.0000, 0.0000, 0.5000)

Results
The energy relative to the elements, uncorrected is -1.84 eV per atom.